Below is crystalline K3CeSb2Se6 at its relaxed geometry, with properties calculated at the PBE-GGA level.

## Properties
Total DFT energy (no corrections), eV/atom: -4.222
Uncorrected formation energy, eV/f.u.: -12.29
Space group: No. 12
Density, g/cm3: 4.4

Cell: 7.456 7.456 8.071 Å, 98.85 98.85 120.00°
Sites, in units of the cell vectors:
K: 0.000 0.000 0.000
K: 0.332 0.668 0.000
K: 0.668 0.332 0.000
Ce: 0.500 0.500 0.500
Sb: 0.167 0.833 0.500
Sb: 0.833 0.167 0.500
Se: 0.092 0.431 0.293
Se: 0.230 0.230 0.707
Se: 0.431 0.092 0.293
Se: 0.569 0.908 0.707
Se: 0.770 0.770 0.293
Se: 0.908 0.569 0.707

***

Below is crystalline Ta12Cr3Re5 at its relaxed geometry, with properties calculated at the PBE-GGA level.

## Properties
Total DFT energy (no corrections), eV/atom: -10.430
Formation enthalpy at 0 K, kJ per mole of atoms: 119.3
Space group: No. 230
Density, g/cm3: 13.0

Cell: 12.943 12.943 12.943 Å, 109.47 109.47 109.47°
Sites, in units of the cell vectors:
Ta: 0.062 0.626 0.394
Ta: 0.062 0.936 0.669
Ta: 0.064 0.232 0.126
Ta: 0.064 0.331 0.938
Ta: 0.106 0.732 0.669
Ta: 0.106 0.874 0.438
Ta: 0.126 0.064 0.232
Ta: 0.126 0.562 0.894
Ta: 0.169 0.232 0.606
Ta: 0.169 0.436 0.562
Ta: 0.232 0.126 0.064
Ta: 0.232 0.606 0.169
Ta: 0.268 0.331 0.894
Ta: 0.268 0.436 0.374
Ta: 0.331 0.894 0.268
Ta: 0.331 0.938 0.064
Ta: 0.374 0.268 0.436
Ta: 0.374 0.606 0.938
Ta: 0.394 0.062 0.626
Ta: 0.394 0.831 0.768
Ta: 0.436 0.374 0.268
Ta: 0.436 0.562 0.169
Ta: 0.438 0.106 0.874
Ta: 0.438 0.831 0.564
Ta: 0.562 0.169 0.436
Ta: 0.562 0.894 0.126
Ta: 0.564 0.438 0.831
Ta: 0.564 0.626 0.732
Ta: 0.606 0.169 0.232
Ta: 0.606 0.938 0.374
Ta: 0.626 0.394 0.062
Ta: 0.626 0.732 0.564
Ta: 0.669 0.062 0.936
Ta: 0.669 0.106 0.732
Ta: 0.732 0.564 0.626
Ta: 0.732 0.669 0.106
Ta: 0.768 0.394 0.831
Ta: 0.768 0.874 0.936
Ta: 0.831 0.564 0.438
Ta: 0.831 0.768 0.394
Ta: 0.874 0.438 0.106
Ta: 0.874 0.936 0.768
Ta: 0.894 0.126 0.562
Ta: 0.894 0.268 0.331
Ta: 0.936 0.669 0.062
Ta: 0.936 0.768 0.874
Ta: 0.938 0.064 0.331
Ta: 0.938 0.374 0.606
Cr: 0.125 0.250 0.375
Cr: 0.125 0.375 0.750
Cr: 0.250 0.375 0.125
Cr: 0.250 0.875 0.625
Cr: 0.375 0.125 0.250
Cr: 0.375 0.750 0.125
Cr: 0.625 0.250 0.875
Cr: 0.625 0.875 0.750
Cr: 0.750 0.125 0.375
Cr: 0.750 0.625 0.875
Cr: 0.875 0.625 0.250
Cr: 0.875 0.750 0.625
Re: 0.000 0.000 0.000
Re: 0.000 0.000 0.500
Re: 0.000 0.500 0.000
Re: 0.000 0.500 0.500
Re: 0.125 0.750 0.875
Re: 0.125 0.875 0.250
Re: 0.250 0.125 0.875
Re: 0.250 0.625 0.375
Re: 0.375 0.250 0.625
Re: 0.375 0.625 0.750
Re: 0.500 0.000 0.000
Re: 0.500 0.000 0.500
Re: 0.500 0.500 0.000
Re: 0.500 0.500 0.500
Re: 0.625 0.375 0.250
Re: 0.625 0.750 0.375
Re: 0.750 0.375 0.625
Re: 0.750 0.875 0.125
Re: 0.875 0.125 0.750
Re: 0.875 0.250 0.125

***

Below is crystalline LiLa4Hg at its relaxed geometry, with properties calculated at the PBE-GGA level.

## Properties
Total DFT energy (no corrections), eV/atom: -3.376
Formation enthalpy at 0 K, kJ per mole of atoms: 26.9
Space group: No. 216
Density, g/cm3: 6.3

Cell: 6.574 6.574 6.574 Å, 60.00 60.00 60.00°
Sites, in units of the cell vectors:
Li: 0.000 0.000 0.000
La: 0.378 0.378 0.378
La: 0.378 0.378 0.867
La: 0.378 0.867 0.378
La: 0.867 0.378 0.378
Hg: 0.750 0.750 0.750

***

Below is crystalline La4RhCCl2 at its relaxed geometry, with properties calculated at the PBE-GGA level.

## Properties
Total DFT energy (no corrections), eV/atom: -6.081
Uncorrected formation energy, eV/f.u.: -8.67
Space group: No. 10
Density, g/cm3: 5.9

Cell: 7.088 4.018 7.605 Å, 90.00 106.00 90.00°
Sites, in units of the cell vectors:
La: 0.221 0.000 0.194
La: 0.234 0.500 0.792
La: 0.766 0.500 0.208
La: 0.779 0.000 0.806
Rh: 0.500 0.000 0.000
C: 0.000 0.500 0.000
Cl: 0.000 0.000 0.500
Cl: 0.500 0.500 0.500

***

Below is crystalline InGa2OsSe at its relaxed geometry, with properties calculated at the PBE-GGA level.

## Properties
Total DFT energy (no corrections), eV/atom: -3.350
Uncorrected formation energy, eV/f.u.: 6.76
Space group: No. 123
Density, g/cm3: 6.3

Cell: 5.183 5.183 5.140 Å, 90.00 90.00 90.00°
Sites, in units of the cell vectors:
In: 0.000 0.000 0.000
Ga: 0.000 0.500 0.000
Ga: 0.500 0.000 0.000
Os: 0.000 0.000 0.500
Se: 0.500 0.500 0.500

***

Below is crystalline Sm2MgNi at its relaxed geometry, with properties calculated at the PBE-GGA level.

## Properties
Total DFT energy (no corrections), eV/atom: -4.395
Formation enthalpy at 0 K, kJ per mole of atoms: -18.4
Space group: No. 51
Density, g/cm3: 6.4

Cell: 7.036 3.519 8.005 Å, 90.00 90.00 90.00°
Sites, in units of the cell vectors:
Sm: 0.001 0.000 0.205
Sm: 0.499 0.000 0.205
Sm: 0.501 0.000 0.795
Sm: 0.999 0.000 0.795
Mg: 0.250 0.500 0.503
Mg: 0.750 0.500 0.497
Ni: 0.250 0.500 0.991
Ni: 0.750 0.500 0.009

***

Below is crystalline Sr2Zn3Ga at its relaxed geometry, with properties calculated at the PBE-GGA level.

## Properties
Total DFT energy (no corrections), eV/atom: -2.006
Formation enthalpy at 0 K, kJ per mole of atoms: -29.3
Space group: No. 69
Density, g/cm3: 4.8

Cell: 9.183 9.021 6.209 Å, 71.47 68.66 39.87°
Sites, in units of the cell vectors:
Sr: 0.242 0.758 0.758
Sr: 0.250 0.250 0.250
Sr: 0.750 0.750 0.750
Sr: 0.758 0.242 0.242
Zn: 0.168 0.168 0.832
Zn: 0.171 0.663 0.337
Zn: 0.337 0.829 0.171
Zn: 0.663 0.171 0.829
Zn: 0.829 0.337 0.663
Zn: 0.832 0.832 0.168
Ga: 0.335 0.335 0.665
Ga: 0.665 0.665 0.335

***

Below is crystalline LiLa2SnH at its relaxed geometry, with properties calculated at the PBE-GGA level.

## Properties
Total DFT energy (no corrections), eV/atom: -4.378
Space group: No. 123
Density, g/cm3: 5.8

Cell: 5.083 5.083 4.475 Å, 90.00 90.00 90.00°
Sites, in units of the cell vectors:
Li: 0.000 0.000 0.000
La: 0.000 0.500 0.500
La: 0.500 0.000 0.500
Sn: 0.500 0.500 0.000
H: 0.000 0.000 0.500

***

Below is crystalline Ho2MnAlS6 at its relaxed geometry, with properties calculated at the PBE-GGA level.

## Properties
Total DFT energy (no corrections), eV/atom: -6.011
Uncorrected formation energy, eV/f.u.: -13.27
Space group: No. 146
Density, g/cm3: 4.8

Cell: 6.771 6.771 6.771 Å, 57.85 57.85 57.85°
Sites, in units of the cell vectors:
Ho: 0.000 0.000 0.000
Ho: 0.498 0.498 0.498
Mn: 0.793 0.793 0.793
Al: 0.291 0.291 0.291
S: 0.062 0.655 0.435
S: 0.159 0.562 0.936
S: 0.435 0.062 0.655
S: 0.562 0.936 0.159
S: 0.655 0.435 0.062
S: 0.936 0.159 0.562

***

Below is crystalline PuMgAl at its relaxed geometry, with properties calculated at the PBE-GGA level.

## Properties
Total DFT energy (no corrections), eV/atom: -6.639
Formation enthalpy at 0 K, kJ per mole of atoms: -8.0
Space group: No. 187
Density, g/cm3: 7.5

Cell: 4.993 4.993 3.033 Å, 90.00 90.00 120.00°
Sites, in units of the cell vectors:
Pu: 0.000 0.000 0.000
Mg: 0.667 0.333 0.500
Al: 0.333 0.667 0.500

***

Below is crystalline TbY5Tm4 at its relaxed geometry, with properties calculated at the PBE-GGA level.

## Properties
Total DFT energy (no corrections), eV/atom: -5.433
Formation enthalpy at 0 K, kJ per mole of atoms: 4.9
Space group: No. 1
Density, g/cm3: 6.7

Cell: 5.409 7.009 8.731 Å, 89.94 72.04 89.96°
Sites, in units of the cell vectors:
Tb: 0.000 0.000 0.000
Y: 0.200 0.496 0.601
Y: 0.388 0.748 0.222
Y: 0.610 0.749 0.781
Y: 0.799 0.000 0.402
Y: 0.998 0.497 0.003
Tm: 0.199 0.000 0.603
Tm: 0.389 0.249 0.222
Tm: 0.610 0.247 0.781
Tm: 0.799 0.496 0.401

***

Below is crystalline Co2Pb at its relaxed geometry, with properties calculated at the PBE-GGA level.

## Properties
Total DFT energy (no corrections), eV/atom: -5.311
Formation enthalpy at 0 K, kJ per mole of atoms: 63.9
Space group: No. 189
Density, g/cm3: 10.2

Cell: 6.615 6.615 4.185 Å, 90.00 90.00 120.00°
Sites, in units of the cell vectors:
Co: 0.000 0.234 0.000
Co: 0.000 0.416 0.500
Co: 0.234 0.000 0.000
Co: 0.416 0.000 0.500
Co: 0.584 0.584 0.500
Co: 0.766 0.766 0.000
Pb: 0.000 0.000 0.500
Pb: 0.333 0.667 0.000
Pb: 0.667 0.333 0.000

***

Below is crystalline KCr2Mo at its relaxed geometry, with properties calculated at the PBE-GGA level.

## Properties
Total DFT energy (no corrections), eV/atom: -6.734
Formation enthalpy at 0 K, kJ per mole of atoms: 102.3
Space group: No. 8
Density, g/cm3: 4.2

Cell: 4.732 4.732 7.107 Å, 92.99 92.99 36.88°
Sites, in units of the cell vectors:
K: 0.000 0.000 0.000
Cr: 0.241 0.241 0.617
Cr: 0.507 0.507 0.519
Mo: 0.768 0.768 0.385

***

Below is crystalline Sm2ICl5 at its relaxed geometry, with properties calculated at the PBE-GGA level.

## Properties
Total DFT energy (no corrections), eV/atom: -4.529
Uncorrected formation energy, eV/f.u.: -16.01
Space group: No. 71
Density, g/cm3: 4.7

Cell: 7.328 7.328 7.328 Å, 143.03 110.28 81.63°
Sites, in units of the cell vectors:
Sm: 0.241 0.241 0.000
Sm: 0.759 0.759 0.000
I: 0.500 0.000 0.500
Cl: 0.000 0.000 0.000
Cl: 0.020 0.333 0.687
Cl: 0.355 0.667 0.687
Cl: 0.645 0.333 0.313
Cl: 0.980 0.667 0.313

***

Below is crystalline Mn2AlZn2 at its relaxed geometry, with properties calculated at the PBE-GGA level.

## Properties
Total DFT energy (no corrections), eV/atom: -4.762
Formation enthalpy at 0 K, kJ per mole of atoms: 15.8
Space group: No. 127
Density, g/cm3: 6.2

Cell: 6.219 6.219 3.717 Å, 90.00 90.00 90.00°
Sites, in units of the cell vectors:
Mn: 0.132 0.368 0.000
Mn: 0.368 0.868 0.000
Mn: 0.632 0.132 0.000
Mn: 0.868 0.632 0.000
Al: 0.000 0.000 0.000
Al: 0.500 0.500 0.000
Zn: 0.164 0.664 0.500
Zn: 0.336 0.164 0.500
Zn: 0.664 0.836 0.500
Zn: 0.836 0.336 0.500

***

Below is crystalline CoCuTe4 at its relaxed geometry, with properties calculated at the PBE-GGA level.

## Properties
Total DFT energy (no corrections), eV/atom: -4.059
Uncorrected formation energy, eV/f.u.: -0.59
Space group: No. 12
Density, g/cm3: 7.4

Cell: 6.552 6.552 6.974 Å, 121.26 121.26 34.60°
Sites, in units of the cell vectors:
Co: 0.000 0.000 0.000
Cu: 0.500 0.500 0.500
Te: 0.137 0.137 0.433
Te: 0.384 0.384 0.058
Te: 0.616 0.616 0.942
Te: 0.863 0.863 0.567

***

Below is crystalline In2GeTe4Pb at its relaxed geometry, with properties calculated at the PBE-GGA level.

## Properties
Total DFT energy (no corrections), eV/atom: -3.526
Uncorrected formation energy, eV/f.u.: -1.84
Space group: No. 10
Density, g/cm3: 6.8

Cell: 7.682 4.416 7.764 Å, 90.00 108.94 90.00°
Sites, in units of the cell vectors:
In: 0.000 0.000 0.000
In: 0.000 0.500 0.500
Ge: 0.500 0.000 0.500
Te: 0.247 0.000 0.732
Te: 0.258 0.500 0.269
Te: 0.742 0.500 0.731
Te: 0.753 0.000 0.268
Pb: 0.500 0.500 0.000

***

Below is crystalline Sc2ReAg at its relaxed geometry, with properties calculated at the PBE-GGA level.

## Properties
Total DFT energy (no corrections), eV/atom: -6.880
Formation enthalpy at 0 K, kJ per mole of atoms: 10.7
Space group: No. 25
Density, g/cm3: 8.4

Cell: 2.901 4.572 5.711 Å, 90.00 90.00 90.00°
Sites, in units of the cell vectors:
Sc: 0.000 0.000 0.000
Sc: 0.500 0.500 0.322
Re: 0.500 0.500 0.835
Ag: 0.000 0.000 0.520

***

Below is crystalline Nd3Sn2Br2 at its relaxed geometry, with properties calculated at the PBE-GGA level.

## Properties
Total DFT energy (no corrections), eV/atom: -4.555
Uncorrected formation energy, eV/f.u.: -6.23
Space group: No. 2
Density, g/cm3: 6.4

Cell: 3.750 7.498 7.954 Å, 81.21 89.94 75.55°
Sites, in units of the cell vectors:
Nd: 0.000 0.000 0.000
Nd: 0.268 0.464 0.713
Nd: 0.732 0.536 0.287
Sn: 0.078 0.840 0.411
Sn: 0.922 0.160 0.589
Br: 0.353 0.293 0.095
Br: 0.647 0.707 0.905

***

Below is crystalline LiHo2Er at its relaxed geometry, with properties calculated at the PBE-GGA level.

## Properties
Total DFT energy (no corrections), eV/atom: -3.837
Formation enthalpy at 0 K, kJ per mole of atoms: 6.9
Space group: No. 123
Density, g/cm3: 7.5

Cell: 3.574 3.574 8.761 Å, 90.00 90.00 90.00°
Sites, in units of the cell vectors:
Li: 0.000 0.000 0.000
Ho: 0.500 0.500 0.224
Ho: 0.500 0.500 0.776
Er: 0.000 0.000 0.500